Record 1
Computed, not measured: a relaxed FeCuBiOs crystal at the PBE-GGA level of DFT.

Space group: F-43m (216)
Excess energy over the best structure of this formula in the dataset (meV/atom): 0

Lattice parameters (Å, degrees): 6.388 6.388 6.388 90.00 90.00 90.00
Positions (direct):
Fe: 0.000 0.000 0.000
Fe: 0.000 0.500 0.500
Fe: 0.500 0.000 0.500
Fe: 0.500 0.500 0.000
Cu: 0.250 0.250 0.750
Cu: 0.250 0.750 0.250
Cu: 0.750 0.250 0.250
Cu: 0.750 0.750 0.750
Bi: 0.000 0.000 0.500
Bi: 0.000 0.500 0.000
Bi: 0.500 0.000 0.000
Bi: 0.500 0.500 0.500
Os: 0.250 0.250 0.250
Os: 0.250 0.750 0.750
Os: 0.750 0.250 0.750
Os: 0.750 0.750 0.250

=====

Record 2
Computed, not measured: a relaxed Ga2CuRe crystal at the PBE-GGA level of DFT.

Space group: F-43m (216)

Lattice parameters (Å, degrees): 6.124 6.124 6.124 90.00 90.00 90.00
Positions (direct):
Ga: 0.000 0.000 0.000
Ga: 0.000 0.500 0.500
Ga: 0.250 0.250 0.250
Ga: 0.250 0.750 0.750
Ga: 0.500 0.000 0.500
Ga: 0.500 0.500 0.000
Ga: 0.750 0.250 0.750
Ga: 0.750 0.750 0.250
Cu: 0.250 0.250 0.750
Cu: 0.250 0.750 0.250
Cu: 0.750 0.250 0.250
Cu: 0.750 0.750 0.750
Re: 0.000 0.000 0.500
Re: 0.000 0.500 0.000
Re: 0.500 0.000 0.000
Re: 0.500 0.500 0.500

=====

| no. | size of the total moment (μB/f.u.) | E (eV per atom) |
| --- | --- | --- |
| 1 | 3.3 | -6.14 |
| 2 | 0.0 | -5.10 |